## ZnCrPO5 (PBE with a Hubbard U)

Data for a relaxed ZnCrPO5 crystal.

Cell: 5.4538 5.4561 7.2574 Å, 71.32 108.68 84.66°
With the nearest neighbours (Å) after each atom.
Fractional coordinates of all 16 atoms:
P (0.6467, 0.1415, 0.7382)  4 O 1.54-1.58
P (0.3479, 0.8452, 0.2376)  4 O 1.54-1.58
Cr (0.9963, 0.4960, 0.9870)  6 O 1.94-2.07
Cr (0.9947, 0.4944, 0.4870)  6 O 1.94-2.07
O (0.6585, 0.7925, 0.3432)  1 P 1.57
O (0.3357, 0.2003, 0.6280)  1 P 1.58
O (0.6973, 0.8313, 0.8430)  1 P 1.57
O (0.2650, 0.7111, 0.0774)  1 P 1.54
O (0.9101, 0.4068, 0.2375)  1 Zn 1.85, 2 Cr 1.94-1.95
O (0.2167, 0.7659, 0.4019)  1 P 1.55
O (0.7823, 0.2236, 0.5789)  1 P 1.54
O (0.2914, 0.1559, 0.1284)  1 P 1.58
O (0.7267, 0.2715, 0.9032)  1 P 1.55
O (0.0840, 0.5804, 0.7375)  1 Zn 1.85, 2 Cr 1.94-1.95
Zn (0.3033, 0.8178, 0.7192)  3 O 1.85-2.06
Zn (0.6755, 0.1846, 0.2191)  3 O 1.85-2.06

Calculated values
- energy (eV/atom) = -6.8170
- calculated volume (Å³/cell) = 189.1
- crystal system = triclinic